{
  "formula": "LuPuBiPb",
  "functional": "PBE-GGA",
  "state": "optimized geometry",
  "lattice": [[0.000, 3.843, 3.843], [3.843, 0.000, 3.843], [3.843, 3.843, 0.000]],
  "species": ["Lu", "Pu", "Bi", "Pb"],
  "frac_coords": [[0.000, 0.000, 0.000], [0.500, 0.500, 0.500], [0.750, 0.750, 0.750], [0.250, 0.250, 0.250]],
  "m_tot_mub_per_fu": 5.96,
  "total_energy_ev_per_atom": -6.865,
  "dos_ef_per_ev_atom": 3.42,
  "formation_energy_ev_per_atom": -0.25
}